Entry 1
Below is NiSbTe2As after structural relaxation, with properties calculated at the GGA-PBE level.

Calculated values
SG: P4/mmm (123)

abc: 5.475 5.475 5.186
angles: 90.00 90.00 90.00
Last column: magnetic moment on the atom in μB.
Element x y z (fractional)
Ni  0.500  0.500  0.500  0.85
Sb  0.000  0.000  0.500  -0.01
Te  0.000  0.500  0.000  0.04
Te  0.500  0.000  0.000  0.04
As  0.000  0.000  0.000  -0.01

=====

Entry 2
Below is NiSbTe2As after structural relaxation, with properties calculated at the GGA-PBE level.

Calculated values
SG: P4/mmm (123)

abc: 5.092 5.092 4.842
angles: 90.00 90.00 90.00
Element x y z (fractional)
Ni  0.000  0.000  0.000
Te  0.500  0.000  0.000
Te  0.000  0.500  0.000
As  0.500  0.500  0.500
Sb  0.000  0.000  0.500

=====

Relative energies, kJ/mol of atoms: entry 1 59.2; entry 2 0.0.

=====

Entry 1
Below is Ni3AsSe after structural relaxation, with properties calculated at the GGA-PBE level.

Calculated values
SG: P-1 (2)

abc: 3.879 6.575 6.533
angles: 100.64 90.01 107.59
Element x y z (fractional)
Ni  0.192  0.386  0.553
Ni  0.062  0.132  0.180
Ni  0.314  0.626  0.931
Ni  0.686  0.374  0.069
Ni  0.938  0.868  0.820
Ni  0.808  0.614  0.447
Se  0.390  0.775  0.618
Se  0.610  0.225  0.382
As  0.121  0.248  0.861
As  0.879  0.752  0.139

=====

Entry 2
Below is Ni3AsSe after structural relaxation, with properties calculated at the GGA-PBE level.

Calculated values
SG: Pm-3m (221)

abc: 4.374 4.374 4.374
angles: 90.00 90.00 90.00
Element x y z (fractional)
Ni  0.000  0.000  0.500
Ni  0.500  0.000  0.000
Ni  0.000  0.500  0.000
Se  0.000  0.000  0.000
As  0.500  0.500  0.500

=====

Entry 3
Below is Ni3AsSe after structural relaxation, with properties calculated at the GGA-PBE level.

Calculated values
SG: Pmc2_1 (26)

abc: 3.758 6.783 5.940
angles: 90.00 90.00 90.00
Element x y z (fractional)
Ni  0.500  0.578  0.574
Ni  0.500  0.801  0.189
Ni  0.500  0.422  0.074
Ni  0.000  0.314  0.419
Ni  0.000  0.686  0.919
Ni  0.500  0.199  0.689
As  0.000  0.642  0.321
As  0.000  0.358  0.821
Se  0.500  0.133  0.301
Se  0.500  0.867  0.801

=====

Relative energies, kJ/mol of atoms: entry 1 5.9; entry 2 69.3; entry 3 0.0.

=====

Entry 1
Below is Ni2As2Se after structural relaxation, with properties calculated at the GGA-PBE level.

Calculated values
SG: P4/mbm (127)

abc: 6.879 6.879 3.300
angles: 90.00 90.00 90.00
Element x y z (fractional)
As  0.645  0.855  0.500
As  0.355  0.145  0.500
As  0.855  0.355  0.500
As  0.145  0.645  0.500
Ni  0.631  0.131  0.000
Ni  0.131  0.369  0.000
Ni  0.869  0.631  0.000
Ni  0.369  0.869  0.000
Se  0.500  0.500  0.000
Se  0.000  0.000  0.000

=====

Entry 2
Below is Ni2As2Se after structural relaxation, with properties calculated at the GGA-PBE level.

Calculated values
SG: I4/mmm (139)

abc: 4.058 4.058 5.823
angles: 69.61 69.61 90.00
Element x y z (fractional)
Ni  0.250  0.750  0.500
Ni  0.750  0.250  0.500
As  0.628  0.628  0.743
As  0.372  0.372  0.257
Se  0.000  0.000  0.000

=====

Relative energies, kJ/mol of atoms: entry 1 0.0; entry 2 3.3.

=====

Entry 1
Below is NiSnAs2Se after structural relaxation, with properties calculated at the GGA-PBE level.

Calculated values
SG: P4/mmm (123)

abc: 4.583 4.583 5.165
angles: 90.00 90.00 90.00
Element x y z (fractional)
As  0.000  0.500  0.000
As  0.500  0.000  0.000
Se  0.000  0.000  0.500
Sn  0.500  0.500  0.500
Ni  0.000  0.000  0.000

=====

Entry 2
Below is NiSnAs2Se after structural relaxation, with properties calculated at the GGA-PBE level.

Calculated values
SG: P4/mmm (123)

abc: 5.214 5.214 5.247
angles: 90.00 90.00 90.00
Last column: magnetic moment on the atom in μB.
Element x y z (fractional)
As  0.000  0.500  0.000  0.04
As  0.500  0.000  0.000  0.04
Se  0.000  0.000  0.500  0.04
Ni  0.500  0.500  0.500  0.88
Sn  0.000  0.000  0.000  0.00

=====

Relative energies, kJ/mol of atoms: entry 1 0.0; entry 2 96.9.

=====

Entry 1
Below is SrNiAsSe2 after structural relaxation, with properties calculated at the GGA-PBE level.

Calculated values
SG: P4/mmm (123)

abc: 5.691 5.691 5.690
angles: 90.00 90.00 90.00
Last column: magnetic moment on the atom in μB.
Element x y z (fractional)
Se  0.500  0.000  0.000  0.21
Se  0.000  0.500  0.000  0.21
Sr  0.000  0.000  0.000  0.01
Ni  0.500  0.500  0.500  1.00
As  0.000  0.000  0.500  0.29

=====

Entry 2
Below is SrNiAsSe2 after structural relaxation, with properties calculated at the GGA-PBE level.

Calculated values
SG: P4/mmm (123)

abc: 5.146 5.146 4.376
angles: 90.00 90.00 90.00
Element x y z (fractional)
Se  0.000  0.500  0.000
Se  0.500  0.000  0.000
Sr  0.500  0.500  0.500
Ni  0.000  0.000  0.000
As  0.000  0.000  0.500

=====

Relative energies, kJ/mol of atoms: entry 1 156.1; entry 2 0.0.

=====

Entry 1
Below is SrNiAs2Se after structural relaxation, with properties calculated at the GGA-PBE level.

Calculated values
SG: P4/mmm (123)

abc: 5.640 5.640 5.600
angles: 90.00 90.00 90.00
Last column: magnetic moment on the atom in μB.
Element x y z (fractional)
As  0.500  0.000  0.000  0.00
As  0.000  0.500  0.000  0.00
Se  0.000  0.000  0.500  0.00
Sr  0.000  0.000  0.000  0.00
Ni  0.500  0.500  0.500  0.96

=====

Entry 2
Below is SrNiAs2Se after structural relaxation, with properties calculated at the GGA-PBE level.

Calculated values
SG: P4/mmm (123)

abc: 4.617 4.617 5.328
angles: 90.00 90.00 90.00
Element x y z (fractional)
Se  0.000  0.000  0.500
Ni  0.000  0.000  0.000
As  0.000  0.500  0.000
As  0.500  0.000  0.000
Sr  0.500  0.500  0.500

=====

Relative energies, kJ/mol of atoms: entry 1 162.0; entry 2 0.0.